Entry one
A crystal of K2SrY relaxed with PBEsol, computed with meta-GGA SCAN.

Results
M_tot	0.5	μB/f.u.

Structure (CIF):
```
data_K2SrY
_chemical_formula_sum 'K2 Sr1 Y1'
_cell_length_a 3.6969
_cell_length_b 6.8937
_cell_length_c 7.5778
_cell_angle_alpha 90.00
_cell_angle_beta 90.00
_cell_angle_gamma 90.00
_symmetry_space_group_name_H-M 'P m m m'
_symmetry_Int_Tables_number 47
_symmetry_space_group_name_Hall '-P 2 2'
loop_
_atom_site_label
_atom_site_type_symbol
_atom_site_fract_x
_atom_site_fract_y
_atom_site_fract_z
K1 K 0.0000 0.0000 0.2390
Sr1 Sr 0.5000 0.5000 0.5000
Y1 Y 0.5000 0.5000 0.0000
```

***

Entry two
A crystal of K2SrY relaxed with PBEsol, computed with meta-GGA SCAN.

Results
M_tot	0.7	μB/f.u.

Structure (CIF):
```
data_K2SrY
_chemical_formula_sum 'K2 Sr1 Y1'
_cell_length_a 6.8282
_cell_length_b 6.8282
_cell_length_c 4.1902
_cell_angle_alpha 90.00
_cell_angle_beta 90.00
_cell_angle_gamma 90.00
_symmetry_space_group_name_H-M 'P 4/m m m'
_symmetry_Int_Tables_number 123
_symmetry_space_group_name_Hall '-P 4 2'
loop_
_atom_site_label
_atom_site_type_symbol
_atom_site_fract_x
_atom_site_fract_y
_atom_site_fract_z
K1 K 0.0000 0.5000 0.0000
Sr1 Sr 0.0000 0.0000 0.5000
Y1 Y 0.5000 0.5000 0.5000
```

***

Energy above the most stable structure, in kJ/mol of atoms: entry one 0.0; entry two 11.3

***

Entry one
A crystal of K2SrZr relaxed with PBEsol, computed with meta-GGA SCAN.

Results
M_tot	3.5	μB/f.u.

Structure (CIF):
```
data_K2SrZr
_chemical_formula_sum 'K4 Sr2 Zr2'
_cell_length_a 5.0923
_cell_length_b 5.0923
_cell_length_c 13.2592
_cell_angle_alpha 90.00
_cell_angle_beta 90.00
_cell_angle_gamma 90.00
_symmetry_space_group_name_H-M 'I 4/m m m'
_symmetry_Int_Tables_number 139
_symmetry_space_group_name_Hall '-I 4 2'
loop_
_atom_site_label
_atom_site_type_symbol
_atom_site_fract_x
_atom_site_fract_y
_atom_site_fract_z
K1 K 0.0000 0.5000 0.2500
Sr1 Sr 0.0000 0.0000 0.0000
Zr1 Zr 0.0000 0.0000 0.5000
```

***

Entry two
A crystal of K2SrZr relaxed with PBEsol, computed with meta-GGA SCAN.

Results
M_tot	2.5	μB/f.u.

Structure (CIF):
```
data_K2SrZr
_chemical_formula_sum 'K2 Sr1 Zr1'
_cell_length_a 3.5433
_cell_length_b 3.5433
_cell_length_c 13.4384
_cell_angle_alpha 90.00
_cell_angle_beta 90.00
_cell_angle_gamma 90.00
_symmetry_space_group_name_H-M 'P 4/m m m'
_symmetry_Int_Tables_number 123
_symmetry_space_group_name_Hall '-P 4 2'
loop_
_atom_site_label
_atom_site_type_symbol
_atom_site_fract_x
_atom_site_fract_y
_atom_site_fract_z
K1 K 0.0000 0.0000 0.2218
Sr1 Sr 0.5000 0.5000 0.5000
Zr1 Zr 0.5000 0.5000 0.0000
```

***

Energy above the most stable structure, in kJ/mol of atoms: entry one 8.8; entry two 0.0

***

Entry one
A crystal of KSr2Zr relaxed with PBEsol, computed with meta-GGA SCAN.

Results
M_tot	2.0	μB/f.u.

Structure (CIF):
```
data_KSr2Zr
_chemical_formula_sum 'K2 Sr4 Zr2'
_cell_length_a 4.1705
_cell_length_b 5.8731
_cell_length_c 13.1720
_cell_angle_alpha 90.00
_cell_angle_beta 90.00
_cell_angle_gamma 90.00
_symmetry_space_group_name_H-M 'C m m 2'
_symmetry_Int_Tables_number 35
_symmetry_space_group_name_Hall 'C 2 -2'
loop_
_atom_site_label
_atom_site_type_symbol
_atom_site_fract_x
_atom_site_fract_y
_atom_site_fract_z
K1 K 0.0000 0.0000 0.0000
Sr1 Sr 0.0000 0.0000 0.4453
Sr2 Sr 0.0000 0.5000 0.7101
Zr1 Zr 0.0000 0.5000 0.2401
```

***

Entry two
A crystal of KSr2Zr relaxed with PBEsol, computed with meta-GGA SCAN.

Results
M_tot	0.2	μB/f.u.

Structure (CIF):
```
data_KSr2Zr
_chemical_formula_sum 'K3 Sr6 Zr3'
_cell_length_a 3.7519
_cell_length_b 3.7519
_cell_length_c 39.4937
_cell_angle_alpha 90.00
_cell_angle_beta 90.00
_cell_angle_gamma 120.00
_symmetry_space_group_name_H-M 'R -3 m'
_symmetry_Int_Tables_number 166
_symmetry_space_group_name_Hall '-R 3 2"'
loop_
_atom_site_label
_atom_site_type_symbol
_atom_site_fract_x
_atom_site_fract_y
_atom_site_fract_z
K1 K 0.0000 0.0000 0.0000
Sr1 Sr 0.0000 0.0000 0.2356
Zr1 Zr 0.0000 0.0000 0.5000
```

***

Entry three
A crystal of KSr2Zr relaxed with PBEsol, computed with meta-GGA SCAN.

Results
M_tot	2.6	μB/f.u.

Structure (CIF):
```
data_KSr2Zr
_chemical_formula_sum 'K1 Sr2 Zr1'
_cell_length_a 3.6837
_cell_length_b 5.8321
_cell_length_c 7.6505
_cell_angle_alpha 90.00
_cell_angle_beta 90.00
_cell_angle_gamma 90.00
_symmetry_space_group_name_H-M 'P m m 2'
_symmetry_Int_Tables_number 25
_symmetry_space_group_name_Hall 'P 2 -2'
loop_
_atom_site_label
_atom_site_type_symbol
_atom_site_fract_x
_atom_site_fract_y
_atom_site_fract_z
K1 K 0.0000 0.0000 0.0000
Sr1 Sr 0.0000 0.0000 0.5451
Sr2 Sr 0.5000 0.5000 0.2666
Zr1 Zr 0.5000 0.5000 0.7289
```

***

Energy above the most stable structure, in kJ/mol of atoms: entry one 8.8; entry two 0.0; entry three 14.2

***

Entry one
A crystal of K2TaTc relaxed with PBEsol, computed with meta-GGA SCAN.

Results
M_tot	0.0	μB/f.u.

Structure (CIF):
```
data_K2TaTc
_chemical_formula_sum 'K4 Ta2 Tc2'
_cell_length_a 5.3145
_cell_length_b 12.1997
_cell_length_c 2.7074
_cell_angle_alpha 90.00
_cell_angle_beta 90.00
_cell_angle_gamma 90.00
_symmetry_space_group_name_H-M 'C m m m'
_symmetry_Int_Tables_number 65
_symmetry_space_group_name_Hall '-C 2 2'
loop_
_atom_site_label
_atom_site_type_symbol
_atom_site_fract_x
_atom_site_fract_y
_atom_site_fract_z
K1 K 0.2500 0.2500 0.0000
Ta1 Ta 0.0000 0.0000 0.5000
Tc1 Tc 0.0000 0.5000 0.5000
```

***

Entry two
A crystal of K2TaTc relaxed with PBEsol, computed with meta-GGA SCAN.

Results
M_tot	0.5	μB/f.u.

Structure (CIF):
```
data_K2TaTc
_chemical_formula_sum 'K2 Ta1 Tc1'
_cell_length_a 3.7756
_cell_length_b 3.7756
_cell_length_c 6.1134
_cell_angle_alpha 90.00
_cell_angle_beta 90.00
_cell_angle_gamma 90.00
_symmetry_space_group_name_H-M 'P 4/m m m'
_symmetry_Int_Tables_number 123
_symmetry_space_group_name_Hall '-P 4 2'
loop_
_atom_site_label
_atom_site_type_symbol
_atom_site_fract_x
_atom_site_fract_y
_atom_site_fract_z
K1 K 0.0000 0.5000 0.0000
Ta1 Ta 0.0000 0.0000 0.5000
Tc1 Tc 0.5000 0.5000 0.5000
```

***

Entry three
A crystal of K2TaTc relaxed with PBEsol, computed with meta-GGA SCAN.

Results
M_tot	0.0	μB/f.u.

Structure (CIF):
```
data_K2TaTc
_chemical_formula_sum 'K4 Ta2 Tc2'
_cell_length_a 3.3595
_cell_length_b 5.3350
_cell_length_c 11.8312
_cell_angle_alpha 90.00
_cell_angle_beta 90.00
_cell_angle_gamma 90.00
_symmetry_space_group_name_H-M 'C m m 2'
_symmetry_Int_Tables_number 35
_symmetry_space_group_name_Hall 'C 2 -2'
loop_
_atom_site_label
_atom_site_type_symbol
_atom_site_fract_x
_atom_site_fract_y
_atom_site_fract_z
K1 K 0.0000 0.0000 0.0000
K2 K 0.0000 0.5000 0.3472
Ta1 Ta 0.0000 0.0000 0.6151
Tc1 Tc 0.0000 0.5000 0.7615
```

***

Energy above the most stable structure, in kJ/mol of atoms: entry one 60.5; entry two 51.0; entry three 0.0